## SmB4Sb (GGA-PBE)

Data for SmB4Sb after structural relaxation.

The structure belongs to space group P6/mmm (No. 191); the cell edges are 3.2413, 3.2413 and 8.1941 Å and the angles 90.00°, 90.00° and 120.00°. The inequivalent atoms are Sm at (0.0000, 0.0000, 0.0000), B at (0.3333, 0.6667, 0.2467) and Sb at (0.0000, 0.0000, 0.5000).

The energy above the lowest structure with this stoichiometry is 0.70 eV/f.u.